# Ba3HoCr2O9 GGA+U relaxed
data_Ba3HoCr2O9
_cell_length_a 5.787
_cell_length_b 5.787
_cell_length_c 7.142
_cell_angle_alpha 90.00
_cell_angle_beta 90.00
_cell_angle_gamma 120.00
_space_group_name_H-M_alt 'P 1'
_space_group_IT_number 1
_space_group_name_Hall 'P 1'
loop_
_atom_site_label
_atom_site_fract_x
_atom_site_fract_y
_atom_site_fract_z
Ba1 0.000 0.000 0.000
Ba2 0.333 0.667 0.680
Ba3 0.667 0.333 0.320
Ho1 0.000 0.000 0.500
Cr1 0.333 0.667 0.163
Cr2 0.667 0.333 0.837
O1 0.000 0.500 0.000
O2 0.178 0.356 0.314
O3 0.178 0.822 0.314
O4 0.356 0.178 0.686
O5 0.500 0.000 0.000
O6 0.500 0.500 0.000
O7 0.644 0.822 0.314
O8 0.822 0.178 0.686
O9 0.822 0.644 0.686
# Electronic total energy: -7.021 eV per atom
# Theoretical density: 6.61 g/cm3